# 1
VASP calculation (PBE) on a geometry-optimized Pm5Tl4Ni structure. Values from VASP.

Calculated values
- crystal system = tetragonal
- uncorrected energy (eV/cell) = -40.813
- SG = No. 87

Structure (Quantum ESPRESSO input):
```
&SYSTEM
  ibrav = 0, nat = 10, ntyp = 3
/
ATOMIC_SPECIES
Pm 145.00 Pm.upf
Tl 204.38 Tl.upf
Ni 58.69 Ni.upf
CELL_PARAMETERS angstrom
5.820 0.000 0.000
2.910 7.191 0.000
2.910 0.000 7.191
ATOMIC_POSITIONS angstrom
Pm 8.736 2.578 6.477
Pm 5.826 6.477 4.613
Pm 5.826 0.714 2.578
Pm 2.916 4.613 0.714
Pm 2.916 0.000 0.000
Tl 5.826 2.821 5.043
Tl 8.736 5.043 4.370
Tl 2.916 2.147 2.821
Tl 5.826 4.370 2.147
Ni 0.007 0.000 0.000
```



# 2
VASP calculation (PBE) on a geometry-optimized Pm12TlNi5 structure. Values from VASP.

Calculated values
- crystal system = orthorhombic
- uncorrected energy (eV/cell) = -92.922
- SG = No. 71

Structure (Quantum ESPRESSO input):
```
&SYSTEM
  ibrav = 0, nat = 18, ntyp = 3
/
ATOMIC_SPECIES
Pm 145.00 Pm.upf
Tl 204.38 Tl.upf
Ni 58.69 Ni.upf
CELL_PARAMETERS angstrom
-8.228 2.181 1.002
1.097 -3.632 -7.686
2.529 -5.732 5.849
ATOMIC_POSITIONS angstrom
Pm -1.604 -5.857 -1.675
Pm -2.997 -1.326 0.840
Pm -5.284 -2.751 3.590
Pm 0.683 -4.432 -4.425
Pm -4.021 -3.076 -2.346
Pm -0.581 -4.107 1.511
Pm 0.709 -7.437 0.857
Pm -5.311 0.254 -1.692
Pm -4.000 -4.972 0.811
Pm -0.602 -2.211 -1.646
Pm 1.526 -7.703 -2.724
Pm -6.127 0.520 1.889
Tl 1.813 -4.682 -0.918
Ni -4.502 -0.916 -4.219
Ni -2.629 -0.535 -2.464
Ni -2.401 -2.932 3.198
Ni -2.200 -4.250 -4.033
Ni 0.000 0.000 0.000
```



# 3
VASP calculation (PBE) on a geometry-optimized PmTlNi5 structure. Values from VASP.

Calculated values
- crystal system = orthorhombic
- uncorrected energy (eV/cell) = -149.396
- SG = No. 62

Structure (Quantum ESPRESSO input):
```
&SYSTEM
  ibrav = 0, nat = 28, ntyp = 3
/
ATOMIC_SPECIES
Pm 145.00 Pm.upf
Tl 204.38 Tl.upf
Ni 58.69 Ni.upf
CELL_PARAMETERS angstrom
4.912 0.000 0.000
0.000 8.218 0.000
0.000 0.000 10.444
ATOMIC_POSITIONS angstrom
Pm 1.228 2.053 9.797
Pm 3.684 2.056 4.575
Pm 1.228 6.162 5.869
Pm 3.684 6.166 0.647
Tl 1.228 7.087 9.041
Tl 3.684 5.240 3.819
Tl 1.228 2.978 6.625
Tl 3.684 1.131 1.403
Ni 1.228 4.741 0.172
Ni 3.684 7.586 5.394
Ni 1.228 0.632 5.050
Ni 3.684 3.477 10.272
Ni 3.684 2.569 7.951
Ni 1.228 1.540 2.729
Ni 3.684 6.678 7.715
Ni 1.228 5.649 2.493
Ni 1.228 7.816 1.171
Ni 3.684 4.511 6.393
Ni 1.228 3.707 4.051
Ni 3.684 0.402 9.273
Ni 0.007 3.553 1.955
Ni 4.905 0.556 7.177
Ni 2.449 7.662 3.266
Ni 2.463 4.665 8.488
Ni 4.905 4.665 8.488
Ni 0.007 7.662 3.266
Ni 2.463 0.556 7.177
Ni 2.449 3.553 1.955
```



# 4
VASP calculation (PBE) on a geometry-optimized Pm8TlNi2 structure. Values from VASP.

Calculated values
- crystal system = monoclinic
- uncorrected energy (eV/cell) = -53.173
- SG = No. 12

Structure (Quantum ESPRESSO input):
```
&SYSTEM
  ibrav = 0, nat = 11, ntyp = 3
/
ATOMIC_SPECIES
Pm 145.00 Pm.upf
Tl 204.38 Tl.upf
Ni 58.69 Ni.upf
CELL_PARAMETERS angstrom
-2.446 1.790 4.624
5.264 -5.158 3.474
3.147 7.122 -2.399
ATOMIC_POSITIONS angstrom
Pm 4.665 1.672 5.912
Pm 4.128 4.786 4.422
Pm 4.336 1.733 2.060
Pm 3.516 -1.216 4.329
Pm 2.449 4.971 1.370
Pm 1.629 2.022 3.639
Pm 1.837 -1.032 1.277
Pm 1.300 2.082 -0.212
Tl -1.223 0.895 2.312
Ni 3.780 3.452 -0.643
Ni 4.631 -1.487 1.719
```



# 5
VASP calculation (PBE) on a geometry-optimized Pm4Tl5Ni2 structure. Values from VASP.

Calculated values
- crystal system = monoclinic
- uncorrected energy (eV/cell) = -46.074
- SG = No. 10

Structure (Quantum ESPRESSO input):
```
&SYSTEM
  ibrav = 0, nat = 11, ntyp = 3
/
ATOMIC_SPECIES
Pm 145.00 Pm.upf
Tl 204.38 Tl.upf
Ni 58.69 Ni.upf
CELL_PARAMETERS angstrom
-0.742 -0.868 3.569
-6.542 -3.900 -2.308
5.769 -7.738 -0.681
ATOMIC_POSITIONS angstrom
Pm -2.241 -7.914 -0.423
Pm 3.253 -7.651 0.784
Pm 0.726 -4.592 1.002
Pm -4.768 -4.855 -0.204
Tl -1.660 -4.745 -1.499
Tl -0.187 -1.684 -0.448
Tl -3.271 -1.950 -1.154
Tl -0.585 -9.954 -2.541
Tl 0.888 -6.893 -1.491
Ni 3.139 -5.117 -0.591
Ni -3.912 -6.521 -2.399
```



# 6
VASP calculation (PBE) on a geometry-optimized PmTlNi structure. Values from VASP.

Calculated values
- excess energy over the best structure of this formula in the dataset (eV/atom) = 0.128
- crystal system = cubic
- SG = No. 216

Structure (Quantum ESPRESSO input):
```
&SYSTEM
  ibrav = 0, nat = 3, ntyp = 3
/
ATOMIC_SPECIES
Ni 58.69 Ni.upf
Tl 204.38 Tl.upf
Pm 145.00 Pm.upf
CELL_PARAMETERS angstrom
-0.264 -3.798 2.720
3.190 -0.705 3.350
-1.202 0.425 4.502
ATOMIC_POSITIONS angstrom
Ni 0.431 -1.020 2.643
Tl 0.000 0.000 0.000
Pm 0.862 -2.039 5.286
```